(1)
Ba3Li3Ga8 | GGA-PBE | optimized geometry

Cell: 9.0881 9.0881 9.0881 Å, 150.60 110.27 77.43°
Fractional positions:
Ba  0.0000  0.0000  0.0000
Ba  0.3066  0.3066  0.0000
Ba  0.6934  0.6934  0.0000
Li  0.2791  0.5000  0.7791
Li  0.5000  0.0000  0.5000
Li  0.7209  0.5000  0.2209
Ga  0.0299  0.6674  0.3624
Ga  0.1225  0.8539  0.2687
Ga  0.3050  0.6674  0.6376
Ga  0.4148  0.1461  0.2687
Ga  0.5852  0.8539  0.7313
Ga  0.6950  0.3326  0.3624
Ga  0.8775  0.1461  0.7313
Ga  0.9701  0.3326  0.6376

Output
Space group: Immm
Calculated formation energy in eV per formula unit: -5.16
Density in Mg/m³: 4.84

---

(2)
BaCu8P4 | GGA-PBE | optimized geometry

Cell: 7.4919 7.4919 7.4919 Å, 93.81 93.81 150.12°
Fractional positions:
Ba  0.0000  0.0000  0.0000
Cu  0.0126  0.3662  0.3788
Cu  0.2297  0.6608  0.8906
Cu  0.3392  0.2297  0.5689
Cu  0.3662  0.9874  0.3535
Cu  0.6338  0.0126  0.6465
Cu  0.6608  0.7703  0.4311
Cu  0.7703  0.3392  0.1094
Cu  0.9874  0.6338  0.6212
P  0.2331  0.4244  0.6575
P  0.4244  0.7669  0.1913
P  0.5756  0.2331  0.8087
P  0.7669  0.5756  0.3425

Output
Space group: I4/m
Calculated formation energy in eV per formula unit: -3.77
Density in Mg/m³: 6.31

---

(3)
NaSr3Ir | GGA-PBE | optimized geometry

Cell: 11.1641 11.1641 11.1641 Å, 60.00 60.00 60.00°
Fractional positions:
Na  0.0000  0.0000  0.0000
Na  0.0000  0.0000  0.5000
Na  0.0000  0.5000  0.0000
Na  0.5000  0.0000  0.0000
Sr  0.1880  0.1880  0.5620
Sr  0.1880  0.5620  0.1880
Sr  0.1880  0.5620  0.5620
Sr  0.4380  0.4380  0.8120
Sr  0.4380  0.8120  0.4380
Sr  0.4380  0.8120  0.8120
Sr  0.5620  0.1880  0.1880
Sr  0.5620  0.1880  0.5620
Sr  0.5620  0.5620  0.1880
Sr  0.8120  0.4380  0.4380
Sr  0.8120  0.4380  0.8120
Sr  0.8120  0.8120  0.4380
Ir  0.0000  0.5000  0.5000
Ir  0.5000  0.0000  0.5000
Ir  0.5000  0.5000  0.0000
Ir  0.5000  0.5000  0.5000

Output
Space group: Fd-3m
Calculated formation energy in eV per formula unit: -0.06
Density in Mg/m³: 3.23
Energy relative to the lowest polymorph listed for this composition in eV per formula unit: 0.553

---

(4)
PaIr2Pd | GGA-PBE | optimized geometry

Cell: 4.6994 4.6994 4.6994 Å, 59.09 59.09 59.09°
Fractional positions:
Pa  0.0000  0.0000  0.0000
Ir  0.2595  0.2595  0.2595
Ir  0.7405  0.7405  0.7405
Pd  0.5000  0.5000  0.5000

Output
Space group: R-3m
Calculated formation energy in eV per formula unit: -1.64
Density in Mg/m³: 16.68
Energy relative to the lowest polymorph listed for this composition in eV per formula unit: 1.570

---

(5)
SnI2F | GGA-PBE | optimized geometry

Cell: 6.8831 6.8831 6.8831 Å, 110.95 110.95 106.54°
Fractional positions:
Sn  0.0000  0.0000  0.0000
Sn  0.7500  0.2500  0.5000
I  0.1344  0.6250  0.0094
I  0.3750  0.3844  0.5094
I  0.6156  0.1250  0.9906
I  0.8750  0.8656  0.4906
F  0.2500  0.7500  0.5000
F  0.5000  0.5000  0.0000

Output
Space group: I-42d
Formation energy without anion corrections in meV/atom: -402
Density in Mg/m³: 5.19
Energy relative to the lowest polymorph listed for this composition in eV per formula unit: 0.079

---

(6)
Na3Te2Au | GGA-PBE | optimized geometry

Cell: 8.4913 8.4913 8.4913 Å, 129.71 80.92 121.26°
Fractional positions:
Na  0.0410  0.7500  0.2910
Na  0.2500  0.2500  0.0000
Na  0.4590  0.7500  0.7090
Na  0.5410  0.2500  0.2910
Na  0.7500  0.7500  0.0000
Na  0.9590  0.2500  0.7090
Te  0.1329  0.2207  0.3536
Te  0.3671  0.7207  0.0878
Te  0.6329  0.2793  0.9122
Te  0.8671  0.7793  0.6464
Au  0.0000  0.5000  0.5000
Au  0.5000  0.0000  0.5000

Output
Space group: Ibam
Formation energy without anion corrections in meV/atom: -736
Density in Mg/m³: 4.46

---

(7)
CsTlAsBr2 | GGA-PBE | optimized geometry

Cell: 6.1868 6.1868 5.5121 Å, 90.00 90.00 90.00°
Fractional positions:
Cs  0.0000  0.0000  0.0000
Tl  0.5000  0.5000  0.5000
As  0.5000  0.5000  0.0000
Br  0.0000  0.5000  0.5000
Br  0.5000  0.0000  0.5000

Output
Space group: P4/mmm
Formation energy without anion corrections in meV/atom: -539
Density in Mg/m³: 4.50
Energy relative to the lowest polymorph listed for this composition in eV per formula unit: 0.000

---

(8)
K4ClOF | GGA-PBE | optimized geometry

Cell: 8.4127 8.4127 8.4127 Å, 144.54 144.54 51.02°
Fractional positions:
K  0.0000  0.0000  0.0000
K  0.1777  0.6777  0.5000
K  0.3373  0.3373  0.0000
K  0.6777  0.1777  0.5000
Cl  0.5345  0.5345  0.0000
O  0.1728  0.1728  0.0000
F  0.8245  0.8245  0.0000

Output
Space group: I4mm
Formation energy without anion corrections in meV/atom: -1671
Density in Mg/m³: 1.89

---

(9)
ZrScSe2 | GGA-PBE | optimized geometry

Cell: 7.3752 7.3752 7.3752 Å, 131.42 131.42 71.14°
Fractional positions:
Zr  0.0000  0.0000  0.0000
Zr  0.7500  0.2500  0.5000
Sc  0.2500  0.7500  0.5000
Sc  0.5000  0.5000  0.0000
Se  0.1293  0.6250  0.0043
Se  0.3750  0.3793  0.5043
Se  0.6207  0.1250  0.9957
Se  0.8750  0.8707  0.4957

Output
Space group: I-42d
Formation energy without anion corrections in meV/atom: -927
Density in Mg/m³: 4.42
Energy relative to the lowest polymorph listed for this composition in eV per formula unit: 1.956

---

(10)
La3Nd2Sm8 | GGA-PBE | optimized geometry

Cell: 6.3509 6.3577 11.5820 Å, 89.95 79.49 80.35°
Fractional positions:
La  0.0000  0.0000  0.0000
La  0.2293  0.4618  0.0777
La  0.7707  0.5382  0.9223
Nd  0.3845  0.7685  0.4622
Nd  0.6155  0.2315  0.5378
Sm  0.0773  0.1530  0.6902
Sm  0.1534  0.3068  0.3857
Sm  0.3086  0.6138  0.7667
Sm  0.4620  0.9240  0.1564
Sm  0.5380  0.0760  0.8436
Sm  0.6914  0.3862  0.2333
Sm  0.8466  0.6932  0.6143
Sm  0.9227  0.8470  0.3098

Output
Space group: P-1
Calculated formation energy in eV per formula unit: 0.25
Density in Mg/m³: 6.99
Energy relative to the lowest polymorph listed for this composition in eV per formula unit: 0.000

---

(11)
LiTm2In3Te6 | GGA-PBE | optimized geometry

Cell: 7.5642 7.5642 7.9597 Å, 99.12 99.12 120.10°
Fractional positions:
Li  0.0000  0.0000  0.0000
Tm  0.3336  0.6664  0.0000
Tm  0.6664  0.3336  0.0000
In  0.1694  0.8306  0.5000
In  0.5000  0.5000  0.5000
In  0.8306  0.1694  0.5000
Te  0.0765  0.4144  0.2311
Te  0.2599  0.2599  0.7701
Te  0.4144  0.0765  0.2311
Te  0.5856  0.9235  0.7689
Te  0.7401  0.7401  0.2299
Te  0.9235  0.5856  0.7689

Output
Space group: C2/m
Formation energy without anion corrections in meV/atom: -775
Density in Mg/m³: 6.47

---

(12)
CdOs2Br | GGA-PBE | optimized geometry

Cell: 5.8751 5.8751 5.8751 Å, 102.61 102.61 124.28°
Fractional positions:
Cd  0.0000  0.0000  0.0000
Cd  0.7500  0.2500  0.5000
Os  0.1790  0.1250  0.5540
Os  0.3750  0.8210  0.9460
Os  0.5710  0.6250  0.4460
Os  0.8750  0.4290  0.0540
Br  0.2500  0.7500  0.5000
Br  0.5000  0.5000  0.0000

Output
Space group: I-42d
Formation energy without anion corrections in meV/atom: 1648
Density in Mg/m³: 12.84
Energy relative to the lowest polymorph listed for this composition in eV per formula unit: 4.852

---

(13)
Te4PtI | GGA-PBE | optimized geometry

Cell: 11.5399 11.5399 4.9432 Å, 90.00 90.00 41.88°
Fractional positions:
Te  0.1404  0.6473  0.5975
Te  0.1821  0.1821  0.6556
Te  0.2170  0.7830  0.0000
Te  0.3527  0.8596  0.4025
Te  0.6473  0.1404  0.5975
Te  0.7830  0.2170  0.0000
Te  0.8179  0.8179  0.3444
Te  0.8596  0.3527  0.4025
Pt  0.0532  0.0532  0.6701
Pt  0.9468  0.9468  0.3299
I  0.2968  0.2968  0.0459
I  0.7032  0.7032  0.9541

Output
Space group: C2/m
Formation energy without anion corrections in meV/atom: -26
Density in Mg/m³: 6.29

---

(14)
NaSiP2O8 | GGA-PBE | optimized geometry

Cell: 4.7832 4.7832 7.1820 Å, 90.00 90.00 120.00°
Fractional positions:
Na  0.0000  0.0000  0.0000
Si  0.0000  0.0000  0.5000
P  0.3333  0.6667  0.7160
P  0.6667  0.3333  0.2840
O  0.0744  0.3286  0.6466
O  0.2542  0.9256  0.6466
O  0.3286  0.2542  0.3534
O  0.3333  0.6667  0.9287
O  0.6667  0.3333  0.0713
O  0.6714  0.7458  0.6466
O  0.7458  0.0744  0.3534
O  0.9256  0.6714  0.3534

Output
Space group: P-3
Formation energy without anion corrections in meV/atom: -2117
Density in Mg/m³: 2.81

---

(15)
AcErCuSb | GGA-PBE | optimized geometry

Cell: 5.3727 5.3727 5.3727 Å, 60.00 60.00 60.00°
Fractional positions:
Ac  0.0000  0.0000  0.0000
Er  0.5000  0.5000  0.5000
Cu  0.2500  0.2500  0.2500
Sb  0.7500  0.7500  0.7500

Output
Space group: F-43m
Formation energy without anion corrections in meV/atom: -379
Density in Mg/m³: 8.78

---

(16)
Y3HPb | GGA-PBE | optimized geometry

Cell: 3.7158 3.7158 21.2952 Å, 90.00 90.00 120.00°
Fractional positions:
Y  0.0000  0.0000  0.2500
Y  0.0000  0.0000  0.7500
Y  0.3333  0.6667  0.1198
Y  0.3333  0.6667  0.3802
Y  0.6667  0.3333  0.6198
Y  0.6667  0.3333  0.8802
H  0.3333  0.6667  0.2500
H  0.6667  0.3333  0.7500
Pb  0.0000  0.0000  0.0000
Pb  0.0000  0.0000  0.5000

Output
Space group: P6_3/mmc
Density in Mg/m³: 6.19
Energy relative to the lowest polymorph listed for this composition in eV per formula unit: 0.704

---

(17)
SbTe2As | GGA-PBE | optimized geometry

Cell: 4.2897 4.2897 7.6160 Å, 105.41 105.41 59.59°
Fractional positions:
Sb  0.0000  0.0000  0.0000
Te  0.2455  0.2455  0.7351
Te  0.7545  0.7545  0.2649
As  0.5000  0.5000  0.5000

Output
Space group: C2/m
Formation energy without anion corrections in meV/atom: 66
Density in Mg/m³: 6.52
Energy relative to the lowest polymorph listed for this composition in eV per formula unit: 0.044

---

(18)
Nd3HoIn2 | GGA-PBE | optimized geometry

Cell: 10.1444 10.1444 10.1444 Å, 160.56 146.62 38.92°
Fractional positions:
Nd  0.0000  0.0000  0.0000
Nd  0.3194  0.8194  0.5000
Nd  0.6806  0.1806  0.5000
Ho  0.5000  0.0000  0.5000
In  0.1486  0.6486  0.5000
In  0.8514  0.3514  0.5000

Output
Space group: Immm
Calculated formation energy in eV per formula unit: 0.31
Density in Mg/m³: 7.20
Energy relative to the lowest polymorph listed for this composition in eV per formula unit: 2.401

---

(19)
RbAuO2 | GGA-PBE | optimized geometry

Cell: 7.0610 7.0610 7.0610 Å, 135.87 135.87 64.18°
Fractional positions:
Rb  0.0000  0.0000  0.0000
Rb  0.7500  0.2500  0.5000
Au  0.2500  0.7500  0.5000
Au  0.5000  0.5000  0.0000
O  0.2601  0.6250  0.1351
O  0.3750  0.5101  0.6351
O  0.4899  0.1250  0.8649
O  0.8750  0.7399  0.3649

Output
Space group: I-42d
Formation energy without anion corrections in meV/atom: -305
Density in Mg/m³: 6.20

---

(20)
RbInFe3 | GGA-PBE | optimized geometry

Cell: 5.1151 5.1151 5.1151 Å, 90.00 90.00 90.00°
Fractional positions:
Rb  0.0000  0.0000  0.0000
In  0.5000  0.5000  0.5000
Fe  0.0000  0.5000  0.5000
Fe  0.5000  0.0000  0.5000
Fe  0.5000  0.5000  0.0000

Output
Space group: Pm-3m
Calculated formation energy in eV per formula unit: 7.02
Density in Mg/m³: 4.56
Energy relative to the lowest polymorph listed for this composition in eV per formula unit: 0.000

---

(21)
PmFeReSi2 | GGA-PBE | optimized geometry

Cell: 5.9313 5.9313 5.9313 Å, 140.22 140.22 57.52°
Fractional positions:
Pm  0.0000  0.0000  0.0000
Fe  0.2500  0.7500  0.5000
Re  0.7500  0.2500  0.5000
Si  0.3766  0.3766  0.0000
Si  0.6234  0.6234  0.0000

Output
Space group: I-4m2
Formation energy without anion corrections in meV/atom: -527
Density in Mg/m³: 8.69

---

(22)
Lu2ZrSn | GGA-PBE | optimized geometry

Cell: 4.6334 4.6334 4.5967 Å, 90.00 90.00 90.00°
Fractional positions:
Lu  0.0000  0.5000  0.0000
Lu  0.5000  0.0000  0.0000
Zr  0.0000  0.0000  0.5000
Sn  0.5000  0.5000  0.5000

Output
Space group: P4/mmm
Calculated formation energy in eV per formula unit: -1.30
Density in Mg/m³: 9.42
Energy relative to the lowest polymorph listed for this composition in eV per formula unit: 0.000

---

(23)
Pa2RuO | GGA-PBE | optimized geometry

Cell: 6.9475 6.9475 6.9475 Å, 29.89 29.89 29.89°
Fractional positions:
Pa  0.2390  0.2390  0.2390
Pa  0.7610  0.7610  0.7610
Ru  0.0000  0.0000  0.0000
O  0.5000  0.5000  0.5000

Output
Space group: R-3m
Formation energy without anion corrections in meV/atom: -1293
Density in Mg/m³: 13.04
Energy relative to the lowest polymorph listed for this composition in eV per formula unit: 0.000

---

(24)
Ba2In3HgPt4 | GGA-PBE | optimized geometry

Cell: 4.8295 4.8295 10.8087 Å, 90.00 90.00 90.00°
Fractional positions:
Ba  0.0000  0.5000  0.2413
Ba  0.5000  0.0000  0.7587
In  0.0000  0.5000  0.8820
In  0.5000  0.0000  0.1180
In  0.5000  0.5000  0.5000
Hg  0.0000  0.0000  0.5000
Pt  0.0000  0.0000  0.0000
Pt  0.0000  0.5000  0.6332
Pt  0.5000  0.0000  0.3668
Pt  0.5000  0.5000  0.0000

Output
Space group: P-4m2
Calculated formation energy in eV per formula unit: -6.18
Density in Mg/m³: 10.54

---

Number 1: raw total energy -2.920 eV per atom. Number 2: raw total energy -4.623 eV per atom. Number 3: raw total energy -3.057 eV per atom. Number 4: raw total energy -8.512 eV per atom. Number 5: raw total energy -2.646 eV per atom. Number 6: raw total energy -2.989 eV per atom. Number 7: raw total energy -2.782 eV per atom. Number 8: raw total energy -3.537 eV per atom. Number 9: raw total energy -6.389 eV per atom. Number 10: raw total energy -4.756 eV per atom. Number 11: raw total energy -3.935 eV per atom. Number 12: raw total energy -4.614 eV per atom. Number 13: raw total energy -3.386 eV per atom. Number 14: raw total energy -6.886 eV per atom. Number 15: raw total energy -4.601 eV per atom. Number 16: raw total energy -5.610 eV per atom. Number 17: raw total energy -3.698 eV per atom. Number 18: raw total energy -4.008 eV per atom. Number 19: raw total energy -3.845 eV per atom. Number 20: raw total energy -4.415 eV per atom. Number 21: raw total energy -7.828 eV per atom. Number 22: raw total energy -5.722 eV per atom. Number 23: raw total energy -9.600 eV per atom. Number 24: raw total energy -4.271 eV per atom.